16
Lattice="-0.7752 -3.7195 -1.4496 -1.3211 -2.7491 7.7601 -10.7568 2.5970 -0.9113" Properties=species:S:1:pos:R:3 comment="CuPSe2 (PBE, optimized geometry)" e_form_raw_ev_per_atom=-0.066 total_energy_ev_per_atom=-4.18 magmom_total_mub_per_cell=0.0 pbc="T T T"
Cu -4.7300 -1.9244 1.1003
Cu -7.8256 -0.5197 4.8553
Cu -2.9373 -3.8912 5.1882
Cu -9.6183 1.4471 0.7674
Se -3.3573 -1.4817 -0.9072
Se -3.6215 -2.9520 3.0065
Se -11.2946 -0.0594 -0.1947
Se -6.8851 -2.6580 4.1148
Se -9.2170 -1.0522 6.8278
Se -1.2638 -2.3979 6.1452
Se -8.9528 0.4181 2.9141
Se -5.6733 0.2007 1.8356
P -11.1142 0.7726 3.2574
P -1.4469 -3.2432 2.6878
P -6.6670 -3.5169 6.1816
P -5.8941 1.0464 -0.2364